1.
RbCaCuCl5 | PBE | relaxed

a b c (Å): 7.541 7.541 9.916
angles (deg): 101.83 101.83 112.38
Last column: magnetic moment on the atom in μB.
Sites, in units of the cell vectors:
Cu 0.324 0.676 0.750  0.55
Cu 0.676 0.324 0.250  0.55
Cl 0.716 0.135 0.397  0.09
Cl 0.407 0.290 0.075  0.10
Cl 0.284 0.865 0.603  0.09
Cl 0.135 0.716 0.897  0.09
Cl 0.924 0.076 0.750  0.01
Cl 0.290 0.407 0.575  0.10
Ca 0.000 0.000 0.000  0.01
Ca 0.000 0.000 0.500  0.01
Cl 0.076 0.924 0.250  0.01
Cl 0.593 0.710 0.925  0.10
Cl 0.710 0.593 0.425  0.10
Rb 0.332 0.668 0.250  0.00
Cl 0.865 0.284 0.103  0.09
Rb 0.668 0.332 0.750  0.00

## Properties
Size of the total moment, μB/atom: 0.13
Formation energy (no corrections), eV per formula unit: -12.4


2.
In4CoCl | PBE | relaxed

a b c (Å): 6.045 6.045 6.045
angles (deg): 60.00 60.00 60.00
Last column: magnetic moment on the atom in μB.
Sites, in units of the cell vectors:
In 0.876 0.375 0.375  0.00
In 0.375 0.876 0.375  0.00
Co 0.000 0.000 0.000  2.04
Cl 0.750 0.750 0.750  0.01
In 0.375 0.375 0.876  0.00
In 0.375 0.375 0.375  0.00

## Properties
Size of the total moment, μB/atom: 0.34
Formation energy (no corrections), eV per formula unit: 2.7


3.
Dy2Y6ErTm3 | PBE | relaxed

a b c (Å): 6.129 6.129 11.739
angles (deg): 94.98 94.98 119.93
Sites, in units of the cell vectors:
Tm 0.833 0.167 0.500
Y 0.417 0.084 0.251
Tm 0.167 0.833 0.500
Y 0.916 0.583 0.749
Y 0.751 0.751 0.251
Tm 0.500 0.500 0.500
Dy 0.667 0.333 0.000
Er 0.000 0.000 0.000
Y 0.084 0.417 0.251
Y 0.249 0.249 0.749
Dy 0.333 0.667 0.000
Y 0.583 0.916 0.749

## Properties
Size of the total moment, μB/atom: 0.00
Formation enthalpy at 0 K, meV per atom: 26


4.
PmMg7In4 | PBE | relaxed

a b c (Å): 5.674 9.172 6.889
angles (deg): 84.48 65.68 71.98
Sites, in units of the cell vectors:
Mg 0.658 0.422 0.261
Mg 0.781 0.895 0.543
Mg 0.069 0.642 0.219
In 0.575 0.223 0.627
Pm 0.000 0.000 0.000
In 0.289 0.322 0.101
Mg 0.931 0.358 0.781
Mg 0.342 0.578 0.739
In 0.711 0.678 0.899
Mg 0.500 0.000 0.000
Mg 0.219 0.105 0.457
In 0.425 0.777 0.373

## Properties
Size of the total moment, μB/atom: 0.00
Formation enthalpy at 0 K, meV per atom: 48


5.
Sm4Dy5Tm2 | PBE | relaxed

a b c (Å): 6.859 6.927 9.392
angles (deg): 78.92 68.58 60.33
Sites, in units of the cell vectors:
Sm 0.318 0.869 0.496
Dy 0.767 0.834 0.170
Tm 0.259 0.640 0.842
Dy 0.233 0.166 0.830
Dy 0.771 0.166 0.830
Dy 0.229 0.834 0.170
Sm 0.279 0.290 0.153
Sm 0.721 0.710 0.847
Dy 0.000 0.500 0.500
Sm 0.682 0.131 0.504
Tm 0.741 0.360 0.158

## Properties
Size of the total moment, μB/atom: 0.00
Formation enthalpy at 0 K, meV per atom: 157


6.
Tb8BSe4S3 | PBE | relaxed

a b c (Å): 7.953 8.091 7.953
angles (deg): 119.44 120.00 90.00
Sites, in units of the cell vectors:
Se 0.500 0.000 0.000
Tb 0.770 0.279 0.539
S 0.000 0.500 0.500
Tb 0.760 0.721 0.990
Se 0.000 0.000 0.500
Se 0.000 0.000 0.000
Tb 0.240 0.279 0.010
Tb 0.770 0.279 0.010
Tb 0.230 0.721 0.990
S 0.500 0.500 0.500
Tb 0.257 0.271 0.514
B 0.000 0.500 0.000
Tb 0.230 0.721 0.461
Tb 0.743 0.729 0.486
S 0.500 0.500 0.000
Se 0.500 0.000 0.500

## Properties
Size of the total moment, μB/atom: 0.00
Formation energy (no corrections), eV per formula unit: -27.9


7.
NaMoPb3 | PBE | relaxed

a b c (Å): 5.456 5.456 5.456
angles (deg): 90.00 90.00 90.00
Sites, in units of the cell vectors:
Na 0.500 0.500 0.500
Pb 0.000 0.000 0.500
Mo 0.000 0.000 0.000
Pb 0.000 0.500 0.000
Pb 0.500 0.000 0.000

## Properties
Size of the total moment, μB/atom: 0.00
Formation enthalpy at 0 K, meV per atom: 326


8.
AgOsBr | PBE | relaxed

a b c (Å): 4.604 4.604 2.900
angles (deg): 90.00 90.00 120.00
Sites, in units of the cell vectors:
Os 0.667 0.333 0.500
Ag 0.000 0.000 0.000
Br 0.333 0.667 0.500

## Properties
Size of the total moment, μB/atom: 0.00
Formation energy (no corrections), eV per formula unit: 3.6